Arrangement 1

Compound: RePtRh
Source: the Alexandria database
Functional: meta-GGA SCAN
Structure: PBEsol geometry

It has space group I4mm (No. 107), with a = 2.714 Å, b = 2.714 Å, c = 11.663 Å, α = 90.00°, β = 90.00° and γ = 90.00°. Symmetry generates all atoms from Re at (0.000, 0.000, 0.000), Pt at (0.000, 0.000, 0.333) and Rh at (0.000, 0.000, 0.654).

---

Arrangement 2

Compound: RePtRh
Source: the Alexandria database
Functional: meta-GGA SCAN
Structure: PBEsol geometry

It has space group P3m1 (No. 156), with a = 2.7207 Å, b = 2.7207 Å, c = 6.6907 Å, α = 90.00°, β = 90.00° and γ = 120.00°. Symmetry generates all atoms from Re at (0.0000, 0.0000, 0.0000), Pt at (0.6667, 0.3333, 0.3376) and Rh at (0.3333, 0.6667, 0.6845).

---

Arrangement 3

Compound: RePtRh
Source: the Alexandria database
Functional: meta-GGA SCAN
Structure: PBEsol geometry

It has space group Imm2 (No. 44), with a = 2.708 Å, b = 3.855 Å, c = 8.135 Å, α = 90.00°, β = 90.00° and γ = 90.00°. Symmetry generates all atoms from Re at (0.000, 0.000, 0.000), Pt at (0.000, 0.000, 0.331) and Rh at (0.000, 0.000, 0.657).

---

Stability order, top to bottom: arrangement 3, arrangement 1, arrangement 2

---

Arrangement 1

Compound: ReRuPt2
Source: the Alexandria database
Functional: meta-GGA SCAN
Structure: PBEsol geometry

It has space group Cm (No. 8), with a = 9.078 Å, b = 2.706 Å, c = 4.742 Å, α = 90.00°, β = 99.68° and γ = 90.00°. Symmetry generates all atoms from Re at (0.000, 0.000, 0.000), Ru at (0.257, 0.000, 0.768), Pt at (0.006, 0.500, 0.511) and Pt at (0.250, 0.500, 0.253).

---

Arrangement 2

Compound: ReRuPt2
Source: the Alexandria database
Functional: meta-GGA SCAN
Structure: PBEsol geometry

It has space group Pmm2 (No. 25), with a = 2.716 Å, b = 3.849 Å, c = 5.503 Å, α = 90.00°, β = 90.00° and γ = 90.00°. Symmetry generates all atoms from Re at (0.000, 0.000, 0.000), Ru at (0.500, 0.500, 0.227), Pt at (0.000, 0.000, 0.484) and Pt at (0.500, 0.500, 0.745).

---

Arrangement 3

Compound: ReRuPt2
Source: the Alexandria database
Functional: meta-GGA SCAN
Structure: PBEsol geometry

It has space group R3m (No. 160, hexagonal axes), with a = 2.7221 Å, b = 2.7221 Å, c = 27.0270 Å, α = 90.00°, β = 90.00° and γ = 120.00°. Symmetry generates all atoms from Re at (0.0000, 0.0000, 0.0000), Ru at (0.0000, 0.0000, 0.7439), Pt at (0.0000, 0.0000, 0.2495) and Pt at (0.0000, 0.0000, 0.4951).

---

Arrangement 4

Compound: ReRuPt2
Source: the Alexandria database
Functional: meta-GGA SCAN
Structure: PBEsol geometry

It has space group P4mm (No. 99), with a = 2.724 Å, b = 2.724 Å, c = 7.778 Å, α = 90.00°, β = 90.00° and γ = 90.00°. Symmetry generates all atoms from Re at (0.000, 0.000, 0.000), Ru at (0.500, 0.500, 0.226), Pt at (0.000, 0.000, 0.481) and Pt at (0.500, 0.500, 0.749).

---

Stability order, top to bottom: arrangement 4, arrangement 2, arrangement 3, arrangement 1

---

Arrangement 1

Compound: ReRuPt
Source: the Alexandria database
Functional: meta-GGA SCAN
Structure: PBEsol geometry

It has space group I4mm (No. 107), with a = 2.725 Å, b = 2.725 Å, c = 11.548 Å, α = 90.00°, β = 90.00° and γ = 90.00°. Symmetry generates all atoms from Re at (0.000, 0.000, 0.000), Ru at (0.000, 0.000, 0.651) and Pt at (0.000, 0.000, 0.328).

---

Arrangement 2

Compound: ReRuPt
Source: the Alexandria database
Functional: meta-GGA SCAN
Structure: PBEsol geometry

It has space group P3m1 (No. 156), with a = 2.7197 Å, b = 2.7197 Å, c = 6.7030 Å, α = 90.00°, β = 90.00° and γ = 120.00°. Symmetry generates all atoms from Re at (0.0000, 0.0000, 0.0000), Ru at (0.3333, 0.6667, 0.6911) and Pt at (0.6667, 0.3333, 0.3448).

---

Arrangement 3

Compound: ReRuPt
Source: the Alexandria database
Functional: meta-GGA SCAN
Structure: PBEsol geometry

It has space group F-43m (No. 216), with a = 5.865 Å, b = 5.865 Å, c = 5.865 Å, α = 90.00°, β = 90.00° and γ = 90.00°. Symmetry generates all atoms from Re at (0.000, 0.000, 0.000), Ru at (0.250, 0.250, 0.750) and Pt at (0.000, 0.000, 0.500).

---

Stability order, top to bottom: arrangement 1, arrangement 2, arrangement 3

---

Arrangement 1

Compound: ReSb2TePt
Source: the Alexandria database
Functional: meta-GGA SCAN
Structure: PBEsol geometry

It has space group P4/mmm (No. 123), with a = 5.053 Å, b = 5.053 Å, c = 5.239 Å, α = 90.00°, β = 90.00° and γ = 90.00°. Symmetry generates all atoms from Re at (0.000, 0.000, 0.000), Sb at (0.000, 0.500, 0.500), Te at (0.500, 0.500, 0.000) and Pt at (0.500, 0.500, 0.500).

---

Arrangement 2

Compound: ReSb2TePt
Source: the Alexandria database
Functional: meta-GGA SCAN
Structure: PBEsol geometry

It has space group P4/mmm (No. 123), with a = 5.058 Å, b = 5.058 Å, c = 5.033 Å, α = 90.00°, β = 90.00° and γ = 90.00°. Symmetry generates all atoms from Re at (0.000, 0.000, 0.000), Sb at (0.000, 0.500, 0.000), Te at (0.000, 0.000, 0.500) and Pt at (0.500, 0.500, 0.500).

---

Stability order, top to bottom: arrangement 2, arrangement 1

---

Arrangement 1

Compound: TaRePt2
Source: the Alexandria database
Functional: meta-GGA SCAN
Structure: PBEsol geometry

It has space group P4mm (No. 99), with a = 3.315 Å, b = 3.315 Å, c = 5.658 Å, α = 90.00°, β = 90.00° and γ = 90.00°. Symmetry generates all atoms from Ta at (0.000, 0.000, 0.000), Re at (0.500, 0.500, 0.729), Pt at (0.000, 0.000, 0.500) and Pt at (0.500, 0.500, 0.244).

---

Arrangement 2

Compound: TaRePt2
Source: the Alexandria database
Functional: meta-GGA SCAN
Structure: PBEsol geometry

It has space group Cmmm (No. 65), with a = 5.456 Å, b = 8.182 Å, c = 2.721 Å, α = 90.00°, β = 90.00° and γ = 90.00°. Symmetry generates all atoms from Ta at (0.000, 0.000, 0.000), Re at (0.000, 0.500, 0.000) and Pt at (0.250, 0.250, 0.500).

---

Stability order, top to bottom: arrangement 2, arrangement 1

---

Arrangement 1

Compound: ReTe2Pt
Source: the Alexandria database
Functional: meta-GGA SCAN
Structure: PBEsol geometry

It has space group P4mm (No. 99), with a = 3.117 Å, b = 3.117 Å, c = 8.597 Å, α = 90.00°, β = 90.00° and γ = 90.00°. Symmetry generates all atoms from Re at (0.000, 0.000, 0.000), Te at (0.000, 0.000, 0.580), Te at (0.500, 0.500, 0.188) and Pt at (0.500, 0.500, 0.800).

---

Arrangement 2

Compound: ReTe2Pt
Source: the Alexandria database
Functional: meta-GGA SCAN
Structure: PBEsol geometry

It has space group C2/m (No. 12), with a = 8.536 Å, b = 3.313 Å, c = 5.548 Å, α = 90.00°, β = 101.82° and γ = 90.00°. Symmetry generates all atoms from Re at (0.000, 0.000, 0.000), Te at (0.234, 0.500, 0.239) and Pt at (0.000, 0.500, 0.500).

---

Stability order, top to bottom: arrangement 1, arrangement 2